DFT (PBE with a Hubbard U) results for an optimized crystal structure of RbCoC2O6.

```
data_RbCoC2O6
_symmetry_space_group_name_H-M 'P 1'
_symmetry_Int_Tables_number 1
_cell_length_a 7.109
_cell_length_b 7.109
_cell_length_c 7.109
_cell_angle_alpha 38.72
_cell_angle_beta 38.72
_cell_angle_gamma 38.72
loop_
_symmetry_equiv_pos_as_xyz
'x,y,z'
loop_
_atom_site_label
_atom_site_type_symbol
_atom_site_fract_x
_atom_site_fract_y
_atom_site_fract_z
Rb1 Rb 0.000 0.000 0.000
Co1 Co 0.500 0.500 0.500
C1 C 0.220 0.220 0.220
C2 C 0.780 0.780 0.780
O1 O 0.071 0.734 0.526
O2 O 0.266 0.474 0.929
O3 O 0.474 0.929 0.266
O4 O 0.526 0.071 0.734
O5 O 0.734 0.526 0.071
O6 O 0.929 0.266 0.474
```

Calculated values
Raw total energy: -6.771 eV per atom